(1)
The following is a SCAN calculation of a crystal of ZnCdCl2 relaxed with PBEsol, from the Alexandria database.

Calculated values
ΔE to the lowest computed polymorph = 193 meV/atom
ΔE_f (raw) = -303.8 meV/atom
Raw total energy = -15.275 eV per atom

Cell: 6.5678 6.5678 6.5678 Å, 145.92 145.92 48.96°
Closest atoms and distances in Å follow each position.
Fractional positions:
1 Zn 0.0000 0.0000 0.0000  4 Cl 2.72
2 Cd 0.7500 0.2500 0.5000  4 Cl 2.72
3 Cl 0.2500 0.7500 0.5000  4 Cd 2.72
4 Cl 0.5000 0.5000 0.0000  4 Zn 2.72

---

(2)
The following is a SCAN calculation of a crystal of ZnCdCl2 relaxed with PBEsol, from the Alexandria database.

Calculated values
ΔE to the lowest computed polymorph = 0 meV/atom
ΔE_f (raw) = -496.7 meV/atom
Raw total energy = -15.468 eV per atom

Cell: 3.2331 3.2331 7.8437 Å, 90.00 90.00 90.00°
Closest atoms and distances in Å follow each position.
Fractional positions:
1 Zn 0.0000 0.0000 0.0000  4 Cl 2.62
2 Cd 0.5000 0.5000 0.2694  4 Cl 2.78
3 Cl 0.0000 0.0000 0.4702  4 Cd 2.78
4 Cl 0.5000 0.5000 0.8374  4 Zn 2.62

---

(3)
The following is a SCAN calculation of a crystal of ZnCdCl2 relaxed with PBEsol, from the Alexandria database.

Calculated values
ΔE to the lowest computed polymorph = 275 meV/atom
ΔE_f (raw) = -221.7 meV/atom
Raw total energy = -15.193 eV per atom

Cell: 4.8245 4.8245 3.4287 Å, 90.00 90.00 90.00°
Closest atoms and distances in Å follow each position.
Fractional positions:
1 Zn 0.0000 0.0000 0.0000  8 Cl 2.96
2 Cd 0.5000 0.5000 0.0000  8 Cl 2.96
3 Cl 0.0000 0.5000 0.5000  4 Cd 2.96, 4 Zn 2.96
4 Cl 0.5000 0.0000 0.5000  4 Cd 2.96, 4 Zn 2.96

---

What is the ΔE_f (raw) in the third record?
-221.7 meV/atom

---

What is the ΔE to the lowest computed polymorph in the first record?
193 meV/atom

---

What is the formula in the third record?
ZnCdCl2